Here is crystalline Pm2FeCo3B12 at its relaxed geometry from the Alexandria database. Energies are from PBE-GGA.

```
Pm2FeCo3B12
1.0
0.131 -7.471 -3.066
5.010 -5.232 -3.572
3.433 -7.213 1.188
B Co Fe Pm
12 3 1 2
Cartesian
2.583 -5.518 0.498
6.719 -15.370 -3.209
1.853 -4.546 -2.241
8.087 -14.235 -3.246
5.990 -14.399 -5.948
3.584 -4.260 -2.525
4.988 -15.657 -2.925
0.486 -5.681 -2.203
7.217 -14.746 -4.710
1.356 -5.171 -0.740
5.678 -15.452 -4.550
2.895 -4.465 -0.900
2.505 -2.616 -1.786
0.065 -3.735 -1.533
1.716 -3.607 0.594
0.000 0.000 0.000
3.085 -7.166 -1.961
5.488 -12.750 -3.489
```

Its crystal system is trigonal. The calculated formation energy is 19 meV per atom. The mass density comes out at 5.77 Mg/m³.